Record 1
Computed, not measured: an optimized crystal structure of MnIr2 at the PBE-GGA level of DFT.

The structure belongs to space group Cmcm (No. 63); the cell edges are 2.714, 13.949 and 4.269 Å and the angles 90.00°, 90.00° and 90.00°. The distinct sites, in fractional coordinates, are Mn at (0.000, 0.111, 0.250), Ir at (0.000, 0.223, 0.750) and Ir at (0.000, 0.445, 0.250).

The total energy comes out at -108.96 eV for the cell shown. Its calculated density is 18.05 Mg/m³.

***

Record 2
Computed, not measured: an optimized crystal structure of MnIr at the PBE-GGA level of DFT.

The structure belongs to space group I-43m (No. 217); the cell edges are 7.204, 7.204 and 7.204 Å and the angles 90.00°, 90.00° and 90.00°. The distinct sites, in fractional coordinates, are Mn at (0.152, 0.152, 0.152) and Ir at (0.168, 0.168, 0.832).

The total energy comes out at -124.05 eV for the cell shown. Its calculated density is 8.78 Mg/m³.

***

Record 3
Computed, not measured: an optimized crystal structure of MnIr2 at the PBE-GGA level of DFT.

The structure belongs to space group Pa-3 (No. 205); the cell edges are 5.779, 5.779 and 5.779 Å and the angles 90.00°, 90.00° and 90.00°. The distinct sites, in fractional coordinates, are Mn at (0.000, 0.000, 0.000) and Ir at (0.121, 0.621, 0.879).

The total energy comes out at -98.59 eV for the cell shown. Its calculated density is 15.12 Mg/m³.

***

Record 4
Computed, not measured: an optimized crystal structure of MnIr2 at the PBE-GGA level of DFT.

The structure belongs to space group C2/m (No. 12); the cell edges are 9.685, 2.701 and 6.354 Å and the angles 90.00°, 104.71° and 90.00°. The distinct sites, in fractional coordinates, are Mn at (0.195, 0.000, 0.134), Ir at (0.031, 0.500, 0.815) and Ir at (0.142, 0.000, 0.534).

The total energy comes out at -108.61 eV for the cell shown. Its calculated density is 18.15 Mg/m³.

***

Record 5
Computed, not measured: an optimized crystal structure of MnIr2 at the PBE-GGA level of DFT.

The structure belongs to space group I4_1/amd (No. 141, origin choice 2); the cell edges are 2.688, 2.688 and 23.040 Å and the angles 90.00°, 90.00° and 90.00°. The distinct sites, in fractional coordinates, are Mn at (0.000, 0.250, 0.375) and Ir at (0.000, 0.250, 0.800).

The total energy comes out at -107.24 eV for the cell shown. Its calculated density is 17.53 Mg/m³.

***

Record 6
Computed, not measured: an optimized crystal structure of MnIr3 at the PBE-GGA level of DFT.

The structure belongs to space group C2/m (No. 12); the cell edges are 8.972, 2.750 and 4.672 Å and the angles 90.00°, 100.59° and 90.00°. The distinct sites, in fractional coordinates, are Mn at (0.000, 0.000, 0.000), Ir at (0.000, 0.500, 0.500) and Ir at (0.248, 0.500, 0.249).

The total energy comes out at -72.30 eV for the cell shown. Its calculated density is 18.51 Mg/m³.

***

Record 7
Computed, not measured: an optimized crystal structure of MnIr5 at the PBE-GGA level of DFT.

The structure belongs to space group Cm (No. 8); the cell edges are 9.957, 2.757 and 6.455 Å and the angles 90.00°, 104.71° and 90.00°. The distinct sites, in fractional coordinates, are Mn at (0.000, 0.000, 0.000), Ir at (0.111, 0.500, 0.724), Ir at (0.163, 0.500, 0.323), Ir at (0.279, 0.000, 0.052), Ir at (0.336, 0.000, 0.671) and Ir at (0.444, 0.500, 0.385).

The total energy comes out at -107.59 eV for the cell shown. Its calculated density is 19.69 Mg/m³.

***

Record 8
Computed, not measured: an optimized crystal structure of MnIr2 at the PBE-GGA level of DFT.

The structure belongs to space group I4/mmm (No. 139); the cell edges are 2.686, 2.686 and 11.191 Å and the angles 90.00°, 90.00° and 90.00°. The distinct sites, in fractional coordinates, are Mn at (0.000, 0.000, 0.000) and Ir at (0.000, 0.000, 0.341).

The total energy comes out at -54.40 eV for the cell shown. Its calculated density is 18.07 Mg/m³.

***

Record 9
Computed, not measured: an optimized crystal structure of MnIr at the PBE-GGA level of DFT.

The structure belongs to space group Imm2 (No. 44); the cell edges are 2.596, 3.983 and 5.995 Å and the angles 90.00°, 90.00° and 90.00°. The distinct sites, in fractional coordinates, are Mn at (0.000, 0.000, 0.000) and Ir at (0.000, 0.000, 0.376).

The total energy comes out at -34.22 eV for the cell shown. Its calculated density is 13.24 Mg/m³.

***

Record 10
Computed, not measured: an optimized crystal structure of MnIr8 at the PBE-GGA level of DFT.

The structure belongs to space group I4/mmm (No. 139); the cell edges are 9.422, 9.422 and 4.198 Å and the angles 90.00°, 90.00° and 90.00°. The distinct sites, in fractional coordinates, are Mn at (0.000, 0.000, 0.000), Ir at (0.000, 0.366, 0.000) and Ir at (0.207, 0.207, 0.000).

The total energy comes out at -145.31 eV for the cell shown. Its calculated density is 14.19 Mg/m³.

***

Record 11
Computed, not measured: an optimized crystal structure of Mn3Ir at the PBE-GGA level of DFT.

The structure belongs to space group P-6m2 (No. 187); the cell edges are 2.6034, 2.6034 and 8.0958 Å and the angles 90.00°, 90.00° and 120.00°. The distinct sites, in fractional coordinates, are Mn at (0.0000, 0.0000, 0.0000), Mn at (0.3333, 0.6667, 0.2391) and Ir at (0.0000, 0.0000, 0.5000).

The total energy comes out at -36.34 eV for the cell shown. Its calculated density is 12.48 Mg/m³.

***

Record 12
Computed, not measured: an optimized crystal structure of Mn3Ir at the PBE-GGA level of DFT.

The structure belongs to space group Pmm2 (No. 25); the cell edges are 2.605, 4.064 and 4.448 Å and the angles 90.00°, 90.00° and 90.00°. The distinct sites, in fractional coordinates, are Mn at (0.000, 0.000, 0.000), Mn at (0.000, 0.500, 0.322), Mn at (0.500, 0.500, 0.849) and Ir at (0.500, 0.000, 0.499).

The total energy comes out at -36.71 eV for the cell shown. Its calculated density is 12.59 Mg/m³.